1.
Compound: Na2InAsOs
Source: the Alexandria database
Functional: PBE
Structure: optimized geometry

Values from the calculation:
- E_form: 2.43 eV/f.u.
- Magnetic moment: 0.00 Bohr magnetons per cell
- SG: P4/mmm, No. 123

Cell: 5.577 5.577 4.619 Å, 90.00 90.00 90.00°
Atoms (fractional coordinates):
Na (0.000, 0.500, 0.000)
Na (0.500, 0.000, 0.000)
In (0.000, 0.000, 0.500)
As (0.500, 0.500, 0.500)
Os (0.500, 0.500, 0.000)



2.
Compound: CaHoZn4
Source: the Alexandria database
Functional: PBE
Structure: optimized geometry

Values from the calculation:
- E_form: -1.59 eV/f.u.
- Magnetic moment: 0.00 Bohr magnetons per cell
- Energy above the most stable polymorph in this dataset: 0.06 eV/f.u.
- SG: I-4m2, No. 119

Cell: 8.173 8.173 8.173 Å, 150.66 150.66 41.98°
Atoms (fractional coordinates):
Ca (0.000, 0.000, 0.000)
Ho (0.750, 0.250, 0.500)
Zn (0.170, 0.670, 0.500)
Zn (0.330, 0.830, 0.500)
Zn (0.417, 0.417, 0.000)
Zn (0.583, 0.583, 0.000)



Please write out number 1 again, unchanged.
Compound: Na2InAsOs
Source: the Alexandria database
Functional: PBE
Structure: optimized geometry

Values from the calculation:
- E_form: 2.43 eV/f.u.
- Magnetic moment: 0.00 Bohr magnetons per cell
- SG: P4/mmm, No. 123

Cell: 5.577 5.577 4.619 Å, 90.00 90.00 90.00°
Atoms (fractional coordinates):
Na (0.000, 0.500, 0.000)
Na (0.500, 0.000, 0.000)
In (0.000, 0.000, 0.500)
As (0.500, 0.500, 0.500)
Os (0.500, 0.500, 0.000)